1.
{"formula": "Tb4Sm7Er", "functional": "GGA-PBE", "state": "optimized geometry", "lattice_angstrom": [[-0.413, -4.854, 3.433], [7.193, 0.377, 6.573], [-1.824, 2.230, 8.107]], "species": ["Tb", "Tb", "Tb", "Tb", "Sm", "Sm", "Sm", "Sm", "Sm", "Sm", "Sm", "Er"], "frac_coords": [[0.573, 0.302, 0.553], [0.427, 0.698, 0.447], [0.673, 0.611, 0.043], [0.327, 0.389, 0.957], [0.789, 0.879, 0.543], [0.211, 0.121, 0.457], [0.082, 0.559, 0.277], [0.918, 0.441, 0.723], [0.208, 0.771, 0.813], [0.500, 0.000, 0.000], [0.792, 0.229, 0.187], [0.000, 0.000, 0.000]], "n_ef_per_ev_atom": 1.5784}

2.
{"formula": "Tb4Sm7Er", "functional": "GGA-PBE", "state": "optimized geometry", "lattice_angstrom": [[6.451, -1.860, 2.730], [0.720, 5.816, 2.258], [2.855, -2.330, 10.904]], "species": ["Tb", "Tb", "Tb", "Tb", "Sm", "Sm", "Sm", "Sm", "Sm", "Sm", "Sm", "Er"], "frac_coords": [[0.417, 0.722, 0.332], [0.583, 0.278, 0.668], [0.834, 0.779, 0.666], [0.166, 0.221, 0.334], [0.749, 0.501, 0.000], [0.251, 0.499, 0.000], [0.083, 0.279, 0.667], [0.917, 0.721, 0.333], [0.334, 0.779, 0.666], [0.500, 0.000, 0.000], [0.666, 0.221, 0.334], [0.000, 0.000, 0.000]], "n_ef_per_ev_atom": 1.2485}

The most stable structure shown above is 2; the least stable is 1.